## A
CrCoB2 | PBE | relaxed

Lattice parameters (Å, degrees): 3.3157 3.3157 10.7364 90.00 90.00 120.00
Space group R-3m (No. 166, hexagonal axes)
Inequivalent atoms, fractional coordinates:
1 Cr 0.0000 0.0000 0.0000 (multiplicity 3)
2 Co 0.0000 0.0000 0.5000 (multiplicity 3)
3 B 0.0000 0.0000 0.2170 (multiplicity 6)

Output
The value obtained for the total moment is 1.4 μB per formula unit.

## B
CrCoB2 | PBE | relaxed

Lattice parameters (Å, degrees): 3.491 3.491 13.759 90.00 90.00 90.00
Space group I4_1/amd (No. 141, origin choice 2)
Inequivalent atoms, fractional coordinates:
1 Cr 0.000 0.250 0.375 (multiplicity 4)
2 Co 0.000 0.250 0.875 (multiplicity 4)
3 B 0.000 0.000 0.000 (multiplicity 8)

Output
The value obtained for the total moment is 2.9 μB per formula unit.

Among the structures shown above, A is the most stable, with the second-best lying 42.4 kJ/mol of atoms higher.